[1]
Ca2MgZn4In3 | PBE | relaxed

abc: 4.4681 4.4681 11.6135
angles: 90.00 90.00 90.00
Closest atoms and distances in Å follow each position.
Fractional coordinates of all 10 atoms:
Ca 0.0000 0.5000 0.2431  6 In 3.40-3.73, 8 Zn 3.44-3.60, 2 Mg 3.73
Ca 0.5000 0.0000 0.7569  6 In 3.40-3.73, 8 Zn 3.44-3.60, 2 Mg 3.73
Mg 0.0000 0.0000 0.5000  4 Zn 2.76
Zn 0.0000 0.0000 0.0000  4 In 2.73
Zn 0.0000 0.5000 0.6391  3 In 2.63-2.76, 2 Mg 2.76
Zn 0.5000 0.0000 0.3609  3 In 2.63-2.76, 2 Mg 2.76
Zn 0.5000 0.5000 0.0000  4 In 2.73
In 0.0000 0.5000 0.8654  5 Zn 2.63-2.73
In 0.5000 0.0000 0.1346  5 Zn 2.63-2.73
In 0.5000 0.5000 0.5000  4 Zn 2.76

- DFT total energy: -2.1080 eV/atom
- Total moment: 0.00 Bohr magnetons per cell

[2]
Re4AsPt | PBE | relaxed

abc: 5.2132 5.2132 5.2132
angles: 60.00 60.00 60.00
Closest atoms and distances in Å follow each position.
Fractional coordinates of all 6 atoms:
Re 0.1239 0.1239 0.1239  6 Re 2.58-2.63
Re 0.1239 0.1239 0.6282  6 Re 2.58-2.63
Re 0.1239 0.6282 0.1239  6 Re 2.58-2.63
Re 0.6282 0.1239 0.1239  6 Re 2.58-2.63
As 0.5000 0.5000 0.5000  12 Re 3.06, 4 Pt 3.19
Pt 0.7500 0.7500 0.7500  12 Re 3.05, 4 As 3.19

- DFT total energy: -9.3506 eV/atom
- Total moment: 0.00 Bohr magnetons per cell

[3]
Ac2SmAu | PBE | relaxed

abc: 12.2672 12.2672 12.2672
angles: 18.11 18.11 18.11
Closest atoms and distances in Å follow each position.
Fractional coordinates of all 4 atoms:
Ac 0.0823 0.0823 0.0823  1 Au 2.98
Ac 0.9177 0.9177 0.9177  1 Au 2.98
Sm 0.5000 0.5000 0.5000  6 Ac 3.78, 6 Sm 3.86
Au 0.0000 0.0000 0.0000  2 Ac 2.98

- Total moment: 0.00 Bohr magnetons per cell
- Energy above the most stable polymorph in this dataset: 191 kJ/mol of formula units

[4]
Li4Ca2In5 | PBE | relaxed

abc: 6.8481 6.8481 8.9754
angles: 125.24 125.24 52.56
Closest atoms and distances in Å follow each position.
Fractional coordinates of all 11 atoms:
Li 0.2422 0.2422 0.0550  3 In 2.68-2.87, 1 Li 2.91
Li 0.2531 0.2531 0.3888  3 In 2.81-2.88, 1 Li 2.91, 1 Ca 3.11
Li 0.7469 0.7469 0.6112  3 In 2.81-2.88, 1 Li 2.91, 1 Ca 3.11
Li 0.7578 0.7578 0.9450  3 In 2.68-2.87, 1 Li 2.91
Ca 0.2977 0.2977 0.7718  4 Li 3.02-3.24
Ca 0.7023 0.7023 0.2282  4 Li 3.02-3.24
In 0.0000 0.0000 0.0000  4 Li 2.68-2.81
In 0.2451 0.7497 0.3181  4 Li 2.87-3.16, 2 In 3.00-3.06
In 0.2503 0.7549 0.6819  4 Li 2.87-3.16, 2 In 3.00-3.06
In 0.7497 0.2451 0.3181  4 Li 2.87-3.16, 2 In 3.00-3.06
In 0.7549 0.2503 0.6819  4 Li 2.87-3.16, 2 In 3.00-3.06

- DFT total energy: -2.5763 eV/atom
- Total moment: 0.00 Bohr magnetons per cell